Record 1
# Ac6P2RhSe3

Crystalline Ac6P2RhSe3 at its relaxed geometry (PBE-GGA, Alexandria via LeMat-Bulk). Values from VASP.

Geometry as Quantum ESPRESSO input:
```
&SYSTEM
  ibrav = 0, nat = 12, ntyp = 4
/
ATOMIC_SPECIES
P 30.97 P.upf
Ac 227.00 Ac.upf
Se 78.96 Se.upf
Rh 102.91 Rh.upf
CELL_PARAMETERS angstrom
-1.956 -3.816 -1.001
3.353 -3.702 7.556
-7.581 5.572 3.259
ATOMIC_POSITIONS crystal
P 0.166 0.335 0.332
P 0.834 0.665 0.668
Ac 0.340 0.908 0.681
Ac 0.997 0.762 0.994
Ac 0.671 0.575 0.341
Ac 0.329 0.425 0.659
Ac 0.003 0.238 0.006
Ac 0.660 0.092 0.319
Se 0.169 0.833 0.339
Se 0.500 0.500 0.000
Se 0.831 0.167 0.661
Rh 0.500 0.000 0.000
```

Output
E = -6.010 eV per atom
ΔE_f (raw) = -1571 meV per atom
SG = No. 12
Crystal system = monoclinic

---

Record 2
# Ac6PRh2Se3

Crystalline Ac6PRh2Se3 at its relaxed geometry (PBE-GGA, Alexandria via LeMat-Bulk). Values from VASP.

Geometry as Quantum ESPRESSO input:
```
&SYSTEM
  ibrav = 0, nat = 12, ntyp = 4
/
ATOMIC_SPECIES
Rh 102.91 Rh.upf
Ac 227.00 Ac.upf
Se 78.96 Se.upf
P 30.97 P.upf
CELL_PARAMETERS angstrom
-1.686 6.780 3.014
-4.539 -3.041 -5.296
-1.919 -4.658 6.164
ATOMIC_POSITIONS crystal
Rh 0.668 0.332 0.000
Rh 0.332 0.668 0.000
Ac 0.415 0.074 0.227
Ac 0.585 0.926 0.773
Ac 0.265 0.265 0.773
Ac 0.926 0.585 0.773
Ac 0.074 0.415 0.227
Ac 0.735 0.735 0.227
Se 0.163 0.837 0.500
Se 0.837 0.163 0.500
Se 0.500 0.500 0.500
P 0.000 0.000 0.000
```

Output
E = -5.993 eV per atom
ΔE_f (raw) = -1392 meV per atom
SG = No. 12
Crystal system = monoclinic

---

Record 3
# Ac2SmP3Rh12

Crystalline Ac2SmP3Rh12 at its relaxed geometry (PBE-GGA, Alexandria via LeMat-Bulk). Values from VASP.

Geometry as Quantum ESPRESSO input:
```
&SYSTEM
  ibrav = 0, nat = 18, ntyp = 4
/
ATOMIC_SPECIES
Rh 102.91 Rh.upf
P 30.97 P.upf
Sm 150.36 Sm.upf
Ac 227.00 Ac.upf
CELL_PARAMETERS angstrom
-0.968 7.010 1.595
-1.894 0.407 6.990
5.822 2.219 3.714
ATOMIC_POSITIONS crystal
Rh 0.676 0.676 0.090
Rh 0.910 0.324 0.324
Rh 0.324 0.910 0.324
Rh 0.619 0.148 0.148
Rh 0.324 0.324 0.910
Rh 0.148 0.619 0.148
Rh 0.852 0.852 0.381
Rh 0.148 0.148 0.619
Rh 0.090 0.676 0.676
Rh 0.381 0.852 0.852
Rh 0.852 0.381 0.852
Rh 0.676 0.090 0.676
P 0.500 0.000 0.000
P 0.000 0.000 0.500
P 0.000 0.500 0.000
Sm 0.000 0.000 0.000
Ac 0.606 0.606 0.606
Ac 0.394 0.394 0.394
```

Output
E = -6.811 eV per atom
ΔH_f (0 K) = -0.290 eV/atom
SG = No. 166
Crystal system = trigonal

---

Record 4
# AcSmP2Rh2

Crystalline AcSmP2Rh2 at its relaxed geometry (PBE-GGA, Alexandria via LeMat-Bulk). Values from VASP.

Geometry as Quantum ESPRESSO input:
```
&SYSTEM
  ibrav = 0, nat = 6, ntyp = 4
/
ATOMIC_SPECIES
Rh 102.91 Rh.upf
Sm 150.36 Sm.upf
P 30.97 P.upf
Ac 227.00 Ac.upf
CELL_PARAMETERS angstrom
4.126 0.000 0.000
-2.063 3.573 0.000
0.000 0.000 8.445
ATOMIC_POSITIONS crystal
Rh 0.333 0.667 0.747
Rh 0.667 0.333 0.253
Sm 0.000 0.000 0.500
P 0.333 0.667 0.275
P 0.667 0.333 0.725
Ac 0.000 0.000 0.000
```

Output
E = -6.917 eV per atom
ΔH_f (0 K) = -1.192 eV/atom
SG = No. 164
Crystal system = trigonal

---

Record 5
# Ac2SmP3Rh4

Crystalline Ac2SmP3Rh4 at its relaxed geometry (PBE-GGA, Alexandria via LeMat-Bulk). Values from VASP.

Geometry as Quantum ESPRESSO input:
```
&SYSTEM
  ibrav = 0, nat = 10, ntyp = 4
/
ATOMIC_SPECIES
P 30.97 P.upf
Rh 102.91 Rh.upf
Ac 227.00 Ac.upf
Sm 150.36 Sm.upf
CELL_PARAMETERS angstrom
-1.335 2.600 2.946
-3.537 -2.151 0.295
4.742 -6.694 8.055
ATOMIC_POSITIONS crystal
P 0.000 0.500 0.116
P 0.000 0.000 0.500
P 0.500 0.000 0.884
Rh 0.000 0.000 0.000
Rh 0.500 0.500 0.000
Rh 0.000 0.500 0.325
Rh 0.500 0.000 0.675
Ac 0.000 0.500 0.771
Ac 0.500 0.000 0.229
Sm 0.500 0.500 0.500
```

Output
E = -6.842 eV per atom
ΔH_f (0 K) = -0.985 eV/atom
SG = No. 115
Crystal system = tetragonal

---

Record 6
# AcSnP2Rh4

Crystalline AcSnP2Rh4 at its relaxed geometry (PBE-GGA, Alexandria via LeMat-Bulk). Values from VASP.

Geometry as Quantum ESPRESSO input:
```
&SYSTEM
  ibrav = 0, nat = 8, ntyp = 4
/
ATOMIC_SPECIES
Ac 227.00 Ac.upf
Sn 118.71 Sn.upf
Rh 102.91 Rh.upf
P 30.97 P.upf
CELL_PARAMETERS angstrom
-3.425 0.854 -2.097
-1.390 -3.795 0.725
-3.901 2.868 7.539
ATOMIC_POSITIONS crystal
Ac 0.000 0.000 0.500
Sn 0.000 0.000 0.000
Rh 0.000 0.500 0.199
Rh 0.500 0.000 0.199
Rh 0.500 0.000 0.801
Rh 0.000 0.500 0.801
P 0.500 0.500 0.315
P 0.500 0.500 0.685
```

Output
E = -6.878 eV per atom
ΔH_f (0 K) = -0.836 eV/atom
SG = No. 123
Crystal system = tetragonal

---

What did the second record say?
# Ac6PRh2Se3

Crystalline Ac6PRh2Se3 at its relaxed geometry (PBE-GGA, Alexandria via LeMat-Bulk). Values from VASP.

Geometry as Quantum ESPRESSO input:
```
&SYSTEM
  ibrav = 0, nat = 12, ntyp = 4
/
ATOMIC_SPECIES
Rh 102.91 Rh.upf
Ac 227.00 Ac.upf
Se 78.96 Se.upf
P 30.97 P.upf
CELL_PARAMETERS angstrom
-1.686 6.780 3.014
-4.539 -3.041 -5.296
-1.919 -4.658 6.164
ATOMIC_POSITIONS crystal
Rh 0.668 0.332 0.000
Rh 0.332 0.668 0.000
Ac 0.415 0.074 0.227
Ac 0.585 0.926 0.773
Ac 0.265 0.265 0.773
Ac 0.926 0.585 0.773
Ac 0.074 0.415 0.227
Ac 0.735 0.735 0.227
Se 0.163 0.837 0.500
Se 0.837 0.163 0.500
Se 0.500 0.500 0.500
P 0.000 0.000 0.000
```

Output
E = -5.993 eV per atom
ΔE_f (raw) = -1392 meV per atom
SG = No. 12
Crystal system = monoclinic

---

Copy entry 6 word for word.
# AcSnP2Rh4

Crystalline AcSnP2Rh4 at its relaxed geometry (PBE-GGA, Alexandria via LeMat-Bulk). Values from VASP.

Geometry as Quantum ESPRESSO input:
```
&SYSTEM
  ibrav = 0, nat = 8, ntyp = 4
/
ATOMIC_SPECIES
Ac 227.00 Ac.upf
Sn 118.71 Sn.upf
Rh 102.91 Rh.upf
P 30.97 P.upf
CELL_PARAMETERS angstrom
-3.425 0.854 -2.097
-1.390 -3.795 0.725
-3.901 2.868 7.539
ATOMIC_POSITIONS crystal
Ac 0.000 0.000 0.500
Sn 0.000 0.000 0.000
Rh 0.000 0.500 0.199
Rh 0.500 0.000 0.199
Rh 0.500 0.000 0.801
Rh 0.000 0.500 0.801
P 0.500 0.500 0.315
P 0.500 0.500 0.685
```

Output
E = -6.878 eV per atom
ΔH_f (0 K) = -0.836 eV/atom
SG = No. 123
Crystal system = tetragonal

---

Among the records above, which one has the lowest E? AcSmP2Rh2